Hg2TeRu: relaxed, PBE-GGA.

a b c (Å): 3.085 3.085 10.054
angles (deg): 90.00 90.00 90.08
Each line ends with the local moment (μB).
Fractional positions:
Hg: 0.000 0.000 0.067  0.01
Hg: 0.000 0.000 0.433  0.01
Ru: 0.500 0.500 0.250  1.13
Te: 0.500 0.500 0.750  0.01

The calculation puts the uncorrected formation energy at 0.51 eV per atom.


Sb2Te2Se: relaxed, PBE-GGA.

a b c (Å): 6.122 9.894 12.141
angles (deg): 90.00 90.00 90.00
Fractional positions:
Te: 0.250 0.387 0.409
Te: 0.250 0.887 0.091
Te: 0.250 0.414 0.798
Te: 0.750 0.613 0.591
Te: 0.750 0.086 0.298
Te: 0.250 0.914 0.702
Te: 0.750 0.113 0.909
Te: 0.750 0.586 0.202
Se: 0.250 0.299 0.100
Se: 0.750 0.201 0.600
Se: 0.750 0.701 0.900
Se: 0.250 0.799 0.400
Sb: 0.750 0.890 0.749
Sb: 0.750 0.838 0.084
Sb: 0.250 0.610 0.249
Sb: 0.250 0.110 0.251
Sb: 0.750 0.390 0.751
Sb: 0.750 0.338 0.416
Sb: 0.250 0.662 0.584
Sb: 0.250 0.162 0.916

The calculation puts the uncorrected formation energy at -0.10 eV per atom. For the polymorph energy (0 for the lowest one), the calculation gives 87 meV per atom.


Ti2CdSnW: relaxed, PBE-GGA.

a b c (Å): 4.753 5.341 4.753
angles (deg): 90.00 90.00 90.00
Fractional positions:
Ti: 0.000 0.000 0.500
Ti: 0.500 0.000 0.000
Sn: 0.500 0.500 0.500
Cd: 0.000 0.500 0.000
W: 0.000 0.000 0.000

As for the formation energy: 4.4 eV/f.u.


SrLu2N: relaxed, PBE-GGA.

a b c (Å): 3.460 3.460 9.730
angles (deg): 79.76 79.76 60.00
Fractional positions:
N: 0.500 0.500 0.500
Sr: 0.000 0.000 0.000
Lu: 0.122 0.122 0.634
Lu: 0.878 0.878 0.366

The calculation puts the uncorrected formation energy at -0.62 eV per atom.


| no. | spin magnetization (μB/cell) |
| --- | --- |
| 1 | 1.19 |
| 2 | 0.00 |
| 3 | 0.00 |
| 4 | 0.01 |